Crystalline TbZrHgIr at its relaxed geometry, computed with PBE.

Size of the total moment (μB/cell): 0.00
E (eV/cell): -24.1
Calculated volume (Å³ per cell): 85
Formation enthalpy at 0 K (eV per atom): -0.430
Space-group type: F-43m

Unit cell a=4.9368 b=4.9368 c=4.9368 alpha=60.00 beta=60.00 gamma=60.00
Closest atoms and distances in Å follow each position.
Atoms (fractional coordinates):
Ir 0.0000 0.0000 0.0000  4 Tb 3.02, 4 Zr 3.02
Tb 0.7500 0.7500 0.7500  4 Hg 3.02, 4 Ir 3.02
Hg 0.5000 0.5000 0.5000  4 Tb 3.02, 4 Zr 3.02
Zr 0.2500 0.2500 0.2500  4 Hg 3.02, 4 Ir 3.02